[1]
A relaxed SbHRu2 crystal, computed with PBE.

Lattice parameters (Å, degrees): 4.6724 4.6724 8.8678 90.00 90.00 120.00
Fractional positions:
Sb  0.0000  0.0000  0.0000
Sb  0.3333  0.6667  0.6667
Sb  0.6667  0.3333  0.3333
H  0.0000  0.0000  0.5000
H  0.3333  0.6667  0.1667
H  0.6667  0.3333  0.8333
Ru  0.0000  0.0000  0.2911
Ru  0.0000  0.0000  0.7089
Ru  0.3333  0.6667  0.3756
Ru  0.3333  0.6667  0.9578
Ru  0.6667  0.3333  0.0422
Ru  0.6667  0.3333  0.6244

Computed properties:
As for the space group: R-3m. Its relative energy among the computed polymorphs is 156 meV/atom.

[2]
A relaxed SbHRu2 crystal, computed with PBE.

Lattice parameters (Å, degrees): 5.4230 5.4230 7.5558 90.00 90.00 90.00
Fractional positions:
Sb  0.0000  0.0000  0.0000
Sb  0.0000  0.5000  0.2500
Sb  0.5000  0.0000  0.7500
Sb  0.5000  0.5000  0.5000
H  0.0000  0.0000  0.5000
H  0.0000  0.5000  0.7500
H  0.5000  0.0000  0.2500
H  0.5000  0.5000  0.0000
Ru  0.1153  0.2500  0.6250
Ru  0.2500  0.6153  0.8750
Ru  0.2500  0.8847  0.3750
Ru  0.3847  0.2500  0.1250
Ru  0.6153  0.7500  0.1250
Ru  0.7500  0.1153  0.3750
Ru  0.7500  0.3847  0.8750
Ru  0.8847  0.7500  0.6250

Computed properties:
As for the space group: I-42d. Its relative energy among the computed polymorphs is 0 meV/atom.

[3]
A relaxed SbHRu crystal, computed with PBE.

Lattice parameters (Å, degrees): 4.2347 4.2347 6.3963 90.00 90.00 90.00
Fractional positions:
Sb  0.2500  0.2500  0.2282
Sb  0.7500  0.7500  0.7718
H  0.2500  0.2500  0.5001
H  0.7500  0.7500  0.4999
Ru  0.2500  0.7500  0.0000
Ru  0.7500  0.2500  0.0000

Computed properties:
As for the space group: P4/nmm. Its relative energy among the computed polymorphs is 295 meV/atom.

[4]
A relaxed SbHRu3 crystal, computed with PBE.

Lattice parameters (Å, degrees): 4.8922 4.8922 4.8922 90.00 90.00 90.00
Fractional positions:
Sb  0.0000  0.0000  0.0000
H  0.5000  0.5000  0.5000
Ru  0.0000  0.0000  0.5000
Ru  0.0000  0.5000  0.0000
Ru  0.5000  0.0000  0.0000

Computed properties:
As for the space group: Pm-3m. Its relative energy among the computed polymorphs is 2084 meV/atom.

Here are the calculated calculated volume numbers, same order: 13.97, 13.89, 19.12, 23.42 (Å³ per atom).